[1]
Entry from Alexandria via LeMat-Bulk: an optimized crystal structure of Tc2NiMoN (PBE).

## Properties
The calculated total energy is -9.10 eV per atom.

Structure (CIF):
```
data_Tc2NiMoN
_cell_length_a 3.9967
_cell_length_b 3.9967
_cell_length_c 4.0427
_cell_angle_alpha 90.00
_cell_angle_beta 90.00
_cell_angle_gamma 90.00
_space_group_name_H-M_alt 'P 4/m m m'
_space_group_IT_number 123
_space_group_name_Hall '-P 4 2'
loop_
_atom_site_label
_atom_site_fract_x
_atom_site_fract_y
_atom_site_fract_z
Tc1 0.0000 0.5000 0.0000
Ni1 0.0000 0.0000 0.5000
Mo1 0.5000 0.5000 0.5000
N1 0.5000 0.5000 0.0000
```

---

[2]
Entry from Alexandria via LeMat-Bulk: an optimized crystal structure of CdSbPtO6 (PBE).

## Properties
The calculated total energy is -5.48 eV per atom.

Structure (CIF):
```
data_CdSbPtO6
_cell_length_a 5.3218
_cell_length_b 5.3218
_cell_length_c 9.6467
_cell_angle_alpha 90.00
_cell_angle_beta 90.00
_cell_angle_gamma 120.00
_space_group_name_H-M_alt 'P -3 1 c'
_space_group_IT_number 163
_space_group_name_Hall '-P 3 2c'
loop_
_atom_site_label
_atom_site_fract_x
_atom_site_fract_y
_atom_site_fract_z
Cd1 0.0000 0.0000 0.0000
Sb1 0.3333 0.6667 0.2500
Pt1 0.3333 0.6667 0.7500
O1 0.0029 0.3652 0.6374
```

---

Number 1: formation energy (no corrections) 0.17 eV/f.u.. Number 2: formation energy (no corrections) -8.52 eV/f.u..